1.
{
  "formula": "Bi2Au2Cl",
  "functional": "PBE-GGA",
  "state": "relaxed",
  "raw_formation_energy_ev_per_atom": -0.107,
  "final_energy_ev_per_atom": -3.34,
  "lattice": [[-5.479, -3.632, -5.096], [5.253, 1.011, -6.369], [1.501, -3.272, 0.718]],
  "species": ["Au", "Au", "Au", "Au", "Bi", "Bi", "Bi", "Bi", "Cl", "Cl"],
  "fractional_positions": [[0.120, 0.620, 0.500], [0.620, 0.880, 0.500], [0.880, 0.380, 0.500], [0.380, 0.120, 0.500], [0.315, 0.815, 0.000], [0.815, 0.685, 0.000], [0.685, 0.185, 0.000], [0.185, 0.315, 0.000], [0.000, 0.000, 0.000], [0.500, 0.500, 0.000]]
}

2.
{
  "formula": "Tb2SmSc3P6",
  "functional": "PBE-GGA",
  "state": "relaxed",
  "final_energy_ev_per_atom": -6.97,
  "formation_enthalpy_0k_mev_per_atom": -1521,
  "lattice": [[-1.000, -5.846, -3.285], [1.822, -0.050, 6.531], [-6.399, 2.051, 0.629]],
  "species": ["Tb", "Tb", "Sm", "Sc", "Sc", "Sc", "P", "P", "P", "P", "P", "P"],
  "fractional_positions": [[0.333, 0.667, 0.000], [0.667, 0.333, 0.000], [0.000, 0.000, 0.000], [0.166, 0.834, 0.500], [0.834, 0.166, 0.500], [0.500, 0.500, 0.500], [0.911, 0.574, 0.732], [0.753, 0.753, 0.268], [0.089, 0.426, 0.268], [0.574, 0.911, 0.732], [0.247, 0.247, 0.732], [0.426, 0.089, 0.268]]
}

3.
{
  "formula": "CoMoPAu2",
  "functional": "PBE-GGA",
  "state": "relaxed",
  "final_energy_ev_per_atom": -4.33,
  "formation_enthalpy_0k_mev_per_atom": 1654,
  "lattice": [[5.055, 0.000, 0.000], [0.000, 4.342, 0.000], [0.000, 0.000, 5.055]],
  "species": ["Co", "Mo", "Au", "Au", "P"],
  "fractional_positions": [[0.000, 0.500, 0.000], [0.000, 0.000, 0.000], [0.000, 0.000, 0.500], [0.500, 0.000, 0.000], [0.500, 0.500, 0.500]]
}

4.
{
  "formula": "ScSi4Ni6",
  "functional": "PBE-GGA",
  "state": "relaxed",
  "raw_formation_energy_ev_per_atom": -0.683,
  "final_energy_ev_per_atom": -6.38,
  "lattice": [[-0.427, -2.097, -2.898], [5.857, -2.812, 1.171], [-5.478, -2.554, 2.656]],
  "species": ["Sc", "Si", "Si", "Si", "Si", "Ni", "Ni", "Ni", "Ni", "Ni", "Ni"],
  "fractional_positions": [[0.000, 0.000, 0.000], [0.500, 0.808, 0.617], [0.500, 0.383, 0.192], [0.500, 0.808, 0.192], [0.000, 0.333, 0.667], [0.000, 0.535, 0.070], [0.500, 0.595, 0.798], [0.000, 0.535, 0.465], [0.000, 0.930, 0.465], [0.500, 0.202, 0.798], [0.500, 0.202, 0.405]]
}